The following is a DFT calculation (PBE-GGA) of a relaxed structure of LaB2Ru3.

a b c (Å): 5.614 5.614 3.030
angles (deg): 90.00 90.00 120.00
Fractional coordinates of all 6 atoms:
1 La 0.000 0.000 0.000
2 B 0.667 0.333 0.000
3 B 0.333 0.667 0.000
4 Ru 0.500 0.000 0.500
5 Ru 0.000 0.500 0.500
6 Ru 0.500 0.500 0.500

Summary:
calculated density: 9.31 g cm⁻³
total magnetic moment: 0.000 μB/f.u.
volume: 82.7 Å³/cell
crystal system: hexagonal
calculated formation energy: -418 meV/atom


The following is a DFT calculation (PBE-GGA) of a relaxed structure of LaBRu.

a b c (Å): 4.310 3.050 5.620
angles (deg): 74.28 67.45 45.05
Fractional coordinates of all 3 atoms:
1 B 0.049 0.000 0.903
2 La 0.341 0.000 0.319
3 Ru 0.611 0.000 0.778

Summary:
calculated density: 8.63 g cm⁻³
total magnetic moment: 0.000 μB/f.u.
volume: 48.3 Å³/cell
crystal system: orthorhombic
calculated formation energy: -100 meV/atom


The following is a DFT calculation (PBE-GGA) of a relaxed structure of La2B7Ru12.

a b c (Å): 2.927 10.352 10.352
angles (deg): 120.00 90.00 90.00
Fractional coordinates of all 21 atoms:
1 La 0.500 0.000 0.000
2 La 0.000 0.667 0.333
3 B 0.000 0.333 0.667
4 B 0.000 0.072 0.781
5 B 0.000 0.709 0.928
6 B 0.000 0.219 0.291
7 B 0.500 0.664 0.574
8 B 0.500 0.911 0.336
9 B 0.500 0.426 0.089
10 Ru 0.500 0.910 0.651
11 Ru 0.500 0.741 0.090
12 Ru 0.500 0.349 0.259
13 Ru 0.500 0.233 0.758
14 Ru 0.500 0.525 0.767
15 Ru 0.500 0.242 0.475
16 Ru 0.000 0.030 0.519
17 Ru 0.000 0.489 0.970
18 Ru 0.000 0.481 0.511
19 Ru 0.000 0.746 0.743
20 Ru 0.000 0.997 0.254
21 Ru 0.000 0.257 0.003

Summary:
calculated density: 9.57 g cm⁻³
total magnetic moment: 0.000 μB/f.u.
volume: 271.7 Å³/cell
crystal system: hexagonal
calculated formation energy: -125 meV/atom


The following is a DFT calculation (PBE-GGA) of a relaxed structure of LaBRu2.

a b c (Å): 4.756 4.756 7.919
angles (deg): 72.52 72.52 90.00
Fractional coordinates of all 8 atoms:
1 Ru 0.377 0.125 0.250
2 Ru 0.373 0.625 0.250
3 Ru 0.375 0.623 0.750
4 Ru 0.875 0.627 0.750
5 B 0.500 0.500 0.000
6 B 0.250 0.750 0.500
7 La 0.000 0.000 0.000
8 La 0.750 0.250 0.500

Summary:
calculated density: 7.20 g cm⁻³
total magnetic moment: 0.000 μB/f.u.
volume: 162.2 Å³/cell
crystal system: tetragonal
calculated formation energy: 90 meV/atom


The following is a DFT calculation (PBE-GGA) of a relaxed structure of LaB3Ru.

a b c (Å): 4.381 4.381 4.381
angles (deg): 90.00 90.00 90.00
Fractional coordinates of all 5 atoms:
1 Ru 0.500 0.500 0.500
2 B 0.000 0.500 0.000
3 B 0.000 0.000 0.500
4 B 0.500 0.000 0.000
5 La 0.000 0.000 0.000

Summary:
calculated density: 5.38 g cm⁻³
total magnetic moment: 0.000 μB/f.u.
volume: 84.1 Å³/cell
crystal system: cubic
calculated formation energy: 2828 meV/atom


The following is a DFT calculation (PBE-GGA) of a relaxed structure of LaB3Ru.

a b c (Å): 4.131 4.131 4.131
angles (deg): 90.00 90.00 90.00
Fractional coordinates of all 5 atoms:
1 Ru 0.000 0.000 0.000
2 B 0.000 0.500 0.000
3 B 0.000 0.000 0.500
4 B 0.500 0.000 0.000
5 La 0.500 0.500 0.500

Summary:
calculated density: 6.42 g cm⁻³
total magnetic moment: 0.000 μB/f.u.
volume: 70.5 Å³/cell
crystal system: cubic
calculated formation energy: 59 meV/atom


The following is a DFT calculation (PBE-GGA) of a relaxed structure of LaBRu.

a b c (Å): 4.002 4.002 7.787
angles (deg): 90.00 90.00 90.00
Site moments in Bohr magnetons follow the coordinates.
Fractional coordinates of all 6 atoms:
1 La 0.500 0.000 0.210  0.13
2 La 0.000 0.500 0.790  0.13
3 B 0.500 0.000 0.608  0.00
4 B 0.000 0.500 0.392  0.00
5 Ru 0.500 0.500 0.500  0.01
6 Ru 0.000 0.000 0.500  0.01

Summary:
calculated density: 6.68 g cm⁻³
total magnetic moment: 0.460 μB/f.u.
volume: 124.7 Å³/cell
crystal system: tetragonal
calculated formation energy: -362 meV/atom


The following is a DFT calculation (PBE-GGA) of a relaxed structure of LaB4Ru4.

a b c (Å): 7.594 7.594 4.018
angles (deg): 90.00 90.00 90.00
Fractional coordinates of all 18 atoms:
1 La 0.500 0.500 0.000
2 La 0.000 0.000 0.500
3 B 0.666 0.788 0.609
4 B 0.288 0.834 0.109
5 B 0.834 0.712 0.891
6 B 0.212 0.666 0.391
7 B 0.788 0.334 0.391
8 B 0.166 0.288 0.891
9 B 0.712 0.166 0.109
10 B 0.334 0.212 0.609
11 Ru 0.356 0.108 0.109
12 Ru 0.392 0.856 0.609
13 Ru 0.108 0.644 0.891
14 Ru 0.144 0.392 0.391
15 Ru 0.856 0.608 0.391
16 Ru 0.892 0.356 0.891
17 Ru 0.644 0.892 0.109
18 Ru 0.608 0.144 0.609

Summary:
calculated density: 8.41 g cm⁻³
total magnetic moment: 0.000 μB/f.u.
volume: 231.7 Å³/cell
crystal system: tetragonal
calculated formation energy: -480 meV/atom


The following is a DFT calculation (PBE-GGA) of a relaxed structure of La2B10Ru.

a b c (Å): 4.242 5.798 11.557
angles (deg): 90.00 90.00 90.00
Fractional coordinates of all 26 atoms:
1 La 0.500 0.282 0.868
2 La 0.500 0.718 0.132
3 La 0.500 0.782 0.632
4 La 0.500 0.218 0.368
5 B 0.000 0.120 0.543
6 B 0.000 0.880 0.457
7 B 0.000 0.620 0.957
8 B 0.000 0.380 0.043
9 B 0.000 0.135 0.697
10 B 0.000 0.865 0.303
11 B 0.298 0.221 0.118
12 B 0.298 0.779 0.882
13 B 0.702 0.721 0.382
14 B 0.702 0.279 0.618
15 B 0.702 0.779 0.882
16 B 0.702 0.221 0.118
17 B 0.298 0.279 0.618
18 B 0.298 0.721 0.382
19 B 0.000 0.059 0.192
20 B 0.000 0.941 0.808
21 B 0.000 0.559 0.308
22 B 0.000 0.441 0.692
23 B 0.000 0.365 0.197
24 B 0.000 0.635 0.803
25 Ru 0.000 0.500 0.500
26 Ru 0.000 0.000 0.000

Summary:
calculated density: 5.69 g cm⁻³
total magnetic moment: 0.000 μB/f.u.
volume: 284.2 Å³/cell
crystal system: orthorhombic
calculated formation energy: -558 meV/atom


The following is a DFT calculation (PBE-GGA) of a relaxed structure of La2BRu.

a b c (Å): 7.290 7.290 6.240
angles (deg): 54.26 54.26 90.00
Fractional coordinates of all 8 atoms:
1 Ru 0.000 0.000 0.000
2 Ru 0.750 0.250 0.500
3 B 0.500 0.500 0.000
4 B 0.250 0.750 0.500
5 La 0.627 0.125 0.250
6 La 0.123 0.625 0.250
7 La 0.375 0.373 0.750
8 La 0.875 0.877 0.750

Summary:
calculated density: 6.92 g cm⁻³
total magnetic moment: 0.000 μB/f.u.
volume: 186.9 Å³/cell
crystal system: tetragonal
calculated formation energy: 462 meV/atom


The following is a DFT calculation (PBE-GGA) of a relaxed structure of LaB4Ru4.

a b c (Å): 5.434 5.434 7.430
angles (deg): 90.00 90.00 90.00
Fractional coordinates of all 18 atoms:
1 La 0.000 0.000 0.000
2 La 0.500 0.500 0.500
3 B 0.500 0.828 0.849
4 B 0.500 0.172 0.849
5 B 0.828 0.500 0.151
6 B 0.172 0.500 0.151
7 B 0.328 0.000 0.349
8 B 0.672 0.000 0.349
9 B 0.000 0.328 0.651
10 B 0.000 0.672 0.651
11 Ru 0.256 0.500 0.863
12 Ru 0.744 0.500 0.863
13 Ru 0.500 0.744 0.137
14 Ru 0.500 0.256 0.137
15 Ru 0.000 0.756 0.363
16 Ru 0.000 0.244 0.363
17 Ru 0.244 0.000 0.637
18 Ru 0.756 0.000 0.637

Summary:
calculated density: 8.88 g cm⁻³
total magnetic moment: 0.000 μB/f.u.
volume: 219.4 Å³/cell
crystal system: tetragonal
calculated formation energy: -412 meV/atom


The following is a DFT calculation (PBE-GGA) of a relaxed structure of LaSiBRu3.

a b c (Å): 5.844 5.818 6.507
angles (deg): 116.56 90.00 90.00
Fractional coordinates of all 12 atoms:
1 La 0.750 0.253 0.506
2 La 0.250 0.747 0.494
3 Si 0.250 0.384 0.767
4 Si 0.750 0.616 0.233
5 B 0.250 0.997 0.994
6 B 0.750 0.003 0.006
7 Ru 0.250 0.179 0.359
8 Ru 0.000 0.251 0.000
9 Ru 0.500 0.749 0.000
10 Ru 0.500 0.251 0.000
11 Ru 0.000 0.749 0.000
12 Ru 0.750 0.821 0.641

Summary:
calculated density: 8.07 g cm⁻³
total magnetic moment: 0.000 μB/f.u.
volume: 197.9 Å³/cell
crystal system: orthorhombic
energy relative to the elements, uncorrected: -230 kJ/mol of formula units